## TbLuTlPb (GGA-PBE)

Data for TbLuTlPb after structural relaxation.

Summary:
- final energy (eV/atom) = -4.118
- ρ (kg/m³) = 11224
- calculated formation energy (eV/atom) = -0.31
- N(E_F) (states/eV/cell) = 4.1

```
TbLuTlPb
1.0
-5.3337 -0.1944 0.6996
-2.4302 -4.7240 0.8681
-2.0386 -1.1262 4.8529
Pb Tl Lu Tb
1 1 1 1
Cartesian
-4.9013 -3.0223 3.2103 Pb
0.0000 0.0000 0.0000 Tl
-7.3519 -4.5335 4.8155 Lu
-2.4506 -1.5112 1.6052 Tb
```


## CaGaHg (GGA-PBE)

Data for CaGaHg after structural relaxation.

Summary:
- final energy (eV/atom) = -2.071
- ρ (kg/m³) = 6334
- calculated formation energy (eV/atom) = -0.29
- N(E_F) (states/eV/cell) = 3.1

```
CaGaHg
1.0
4.8641 0.0000 0.0000
2.4320 4.2124 0.0000
2.4320 1.4041 3.9715
Ca Hg Ga
1 1 1
Cartesian
4.8641 2.8083 1.9857 Ca
2.4320 1.4041 0.9929 Hg
0.0000 0.0000 0.0000 Ga
```


## Ca2ScAsRu (GGA-PBE)

Data for Ca2ScAsRu after structural relaxation.

Summary:
- final energy (eV/atom) = -4.751
- ρ (kg/m³) = 3612
- calculated formation energy (eV/atom) = 0.10
- N(E_F) (states/eV/cell) = 3.4

```
Ca2ScAsRu
1.0
5.4957 0.0000 0.0000
0.0000 4.5836 0.0000
0.0000 0.0000 5.4957
Sc Ru As Ca
1 1 1 2
Cartesian
2.7478 2.2918 2.7478 Sc
0.0000 2.2918 0.0000 Ru
0.0000 0.0000 0.0000 As
0.0000 0.0000 2.7478 Ca
2.7478 0.0000 0.0000 Ca
```


## CdSn2Hg (GGA-PBE)

Data for CdSn2Hg after structural relaxation.

Summary:
- final energy (eV/atom) = -1.824
- ρ (kg/m³) = 5619
- calculated formation energy (eV/atom) = 0.48
- N(E_F) (states/eV/cell) = 5.0

```
CdSn2Hg
1.0
5.5298 0.0000 -0.4479
-0.0363 5.5296 -0.4479
-1.8961 -1.9086 10.9489
Cd Sn Hg
2 4 2
Cartesian
0.0000 0.0000 0.0000 Cd
3.1902 0.4281 5.0265 Cd
0.6289 2.0246 7.7638 Sn
0.6470 -0.7402 7.9877 Sn
1.5770 2.9789 2.2893 Sn
4.3418 2.9788 2.0653 Sn
2.7467 2.7648 -0.4479 Hg
0.4072 3.1929 5.0265 Hg
```